The following is a DFT calculation (PBE) of RbLaCdIr2 after structural relaxation.

Geometry as POSCAR:
```
RbLaCdIr2
1.0
5.151 0.000 0.000
0.000 5.151 0.000
0.000 0.000 6.363
Rb La Cd Ir
1 1 1 2
direct
0.000 0.000 0.000
0.500 0.500 0.500
0.500 0.500 0.000
0.000 0.500 0.500
0.500 0.000 0.500
```

Values from the calculation:
energy: -20.1 eV per cell
DOS(E_F): 0.370 states/eV/atom